# 1
Below is crystalline Li3Ca3TaSe8 at its relaxed geometry, with properties calculated at the PBE level.

Properties
SG	R-3m (166)
formation energy without anion corrections	-18.46	eV per formula unit
N(E_F)	9.934	states/eV/cell

Lattice parameters (Å, degrees): 8.202 8.202 7.870 121.43 90.00 120.00
Sites, in units of the cell vectors:
Se 0.770 0.541 0.256
Se 0.230 0.459 0.744
Se 0.244 0.488 0.231
Se 0.770 0.986 0.256
Se 0.756 0.512 0.769
Se 0.230 0.014 0.744
Se 0.215 0.986 0.256
Se 0.785 0.014 0.744
Li 0.000 0.500 0.000
Li 0.500 0.500 0.000
Li 0.000 0.000 0.000
Ca 0.500 0.500 0.500
Ca 0.500 0.000 0.500
Ca 0.000 0.500 0.500
Ta 0.000 0.000 0.500



# 2
Below is crystalline TbMgZrHg at its relaxed geometry, with properties calculated at the PBE level.

Properties
SG	F-43m (216)
E_form	-0.0876	eV per atom
N(E_F)	5.355	states/eV/cell

Lattice parameters (Å, degrees): 5.137 5.137 5.137 60.00 60.00 60.00
Last column: magnetic moment on the atom in μB.
Sites, in units of the cell vectors:
Hg 0.500 0.500 0.500  0.00
Tb 0.750 0.750 0.750  0.07
Zr 0.250 0.250 0.250  0.15
Mg 0.000 0.000 0.000  0.00



# 3
Below is crystalline CsHg2Te2Br at its relaxed geometry, with properties calculated at the PBE level.

Properties
SG	P2_1/m (11)
formation energy without anion corrections	-3.32	eV per formula unit
N(E_F)	0.000	states/eV/cell

Lattice parameters (Å, degrees): 7.537 8.848 8.249 110.33 90.00 90.00
Sites, in units of the cell vectors:
Hg 0.999 0.837 0.730
Hg 0.001 0.163 0.270
Hg 0.501 0.837 0.730
Hg 0.499 0.163 0.270
Br 0.750 0.835 0.036
Br 0.250 0.165 0.964
Te 0.250 0.618 0.735
Te 0.750 0.952 0.568
Te 0.750 0.382 0.265
Te 0.250 0.048 0.432
Cs 0.750 0.407 0.786
Cs 0.250 0.593 0.214



# 4
Below is crystalline RbAlGa14 at its relaxed geometry, with properties calculated at the PBE level.

Properties
SG	Imma (74)
E_form	-0.0422	eV per atom
N(E_F)	9.358	states/eV/cell

Lattice parameters (Å, degrees): 8.068 10.454 10.454 71.11 67.30 67.30
Sites, in units of the cell vectors:
Ga 0.151 0.622 0.543
Ga 0.604 0.231 0.561
Ga 0.896 0.939 0.269
Ga 0.349 0.957 0.878
Ga 0.168 0.791 0.872
Ga 0.184 0.043 0.122
Ga 0.337 0.025 0.300
Ga 0.651 0.043 0.122
Ga 0.684 0.622 0.543
Ga 0.668 0.372 0.291
Ga 0.816 0.957 0.878
Ga 0.316 0.378 0.457
Ga 0.104 0.061 0.731
Ga 0.832 0.209 0.128
Ga 0.111 0.220 0.889
Ga 0.332 0.628 0.709
Ga 0.220 0.780 0.111
Ga 0.837 0.800 0.525
Ga 0.163 0.200 0.475
Ga 0.889 0.780 0.111
Ga 0.663 0.975 0.700
Ga 0.611 0.389 0.720
Ga 0.849 0.378 0.457
Ga 0.280 0.389 0.720
Ga 0.720 0.611 0.280
Ga 0.396 0.769 0.439
Ga 0.389 0.611 0.280
Ga 0.780 0.220 0.889
Al 0.000 0.000 0.500
Al 0.500 0.000 0.500
Rb 0.750 0.599 0.901
Rb 0.250 0.401 0.099



# 5
Below is crystalline Ca2AlRh2 at its relaxed geometry, with properties calculated at the PBE level.

Properties
SG	P4/mbm (127)
E_form	-0.5816	eV per atom
N(E_F)	2.748	states/eV/cell

Lattice parameters (Å, degrees): 6.638 6.638 4.607 90.00 90.00 90.00
Sites, in units of the cell vectors:
Rh 0.859 0.641 0.000
Rh 0.359 0.859 0.000
Rh 0.641 0.141 0.000
Rh 0.141 0.359 0.000
Al 0.000 0.000 0.000
Al 0.500 0.500 0.000
Ca 0.827 0.327 0.500
Ca 0.673 0.827 0.500
Ca 0.173 0.673 0.500
Ca 0.327 0.173 0.500



# 6
Below is crystalline LiTmGePd at its relaxed geometry, with properties calculated at the PBE level.

Properties
SG	F-43m (216)
E_form	-0.7330	eV per atom

Lattice parameters (Å, degrees): 4.574 4.574 4.574 60.00 60.00 60.00
Sites, in units of the cell vectors:
Tm 0.750 0.750 0.750
Pd 0.500 0.500 0.500
Ge 0.250 0.250 0.250
Li 0.000 0.000 0.000



# 7
Below is crystalline Dy4Y8Tm3 at its relaxed geometry, with properties calculated at the PBE level.

Properties
SG	C2/m (12)
E_form	0.4020	eV per atom
offset from the most stable computed form	3.73	eV per formula unit
N(E_F)	30.650	states/eV/cell

Lattice parameters (Å, degrees): 6.721 9.254 9.254 87.47 111.34 111.34
Last column: magnetic moment on the atom in μB.
Sites, in units of the cell vectors:
Y 0.000 0.357 0.643  0.01
Y 0.000 0.643 0.357  0.01
Y 0.500 0.749 0.251  0.04
Y 0.004 0.269 0.269  0.01
Y 0.996 0.731 0.731  0.01
Y 0.479 0.735 0.735  0.01
Y 0.500 0.251 0.749  0.04
Y 0.521 0.265 0.265  0.01
Dy 0.500 0.000 0.000  0.10
Dy 0.000 0.000 0.500  0.01
Dy 0.000 0.000 0.000  0.03
Dy 0.000 0.500 0.000  0.01
Tm 0.500 0.500 0.000  0.01
Tm 0.500 0.000 0.500  0.01
Tm 0.500 0.500 0.500  0.03



# 8
Below is crystalline Li2BiTeSe4 at its relaxed geometry, with properties calculated at the PBE level.

Properties
SG	C2/c (15)
formation energy without anion corrections	-4.28	eV per formula unit
N(E_F)	3.740	states/eV/cell

Lattice parameters (Å, degrees): 8.088 8.088 8.123 118.19 118.19 89.32
Sites, in units of the cell vectors:
Li 0.500 0.000 0.500
Li 0.000 0.000 0.500
Li 0.500 0.500 0.000
Li 0.500 0.000 0.000
Se 0.250 0.754 0.989
Se 0.775 0.790 0.049
Se 0.710 0.725 0.451
Se 0.254 0.750 0.489
Se 0.750 0.246 0.011
Se 0.746 0.250 0.511
Se 0.225 0.210 0.951
Se 0.290 0.275 0.549
Te 0.000 0.000 0.000
Te 0.500 0.500 0.500
Bi 0.000 0.500 0.500
Bi 0.000 0.500 0.000



# 9
Below is crystalline Ac3Tb6Pm2 at its relaxed geometry, with properties calculated at the PBE level.

Properties
SG	C2/m (12)
E_form	0.2272	eV per atom
N(E_F)	15.647	states/eV/cell

Lattice parameters (Å, degrees): 6.410 6.423 11.806 84.72 79.37 60.06
Sites, in units of the cell vectors:
Tb 0.580 0.332 0.259
Tb 0.420 0.668 0.741
Tb 0.751 0.000 0.742
Tb 0.088 0.332 0.741
Tb 0.912 0.668 0.259
Tb 0.249 0.000 0.258
Ac 0.665 0.670 0.000
Ac 0.335 0.330 0.000
Ac 0.000 0.000 0.000
Pm 0.166 0.668 0.500
Pm 0.834 0.332 0.500



# 10
Below is crystalline LiThGa2 at its relaxed geometry, with properties calculated at the PBE level.

Properties
SG	P4/mmm (123)
E_form	-0.3571	eV per atom
offset from the most stable computed form	0.37	eV per formula unit
N(E_F)	2.334	states/eV/cell

Lattice parameters (Å, degrees): 3.388 3.388 7.116 90.00 90.00 90.00
Sites, in units of the cell vectors:
Th 0.500 0.500 0.500
Li 0.500 0.500 0.000
Ga 0.000 0.000 0.802
Ga 0.000 0.000 0.198



# 11
Below is crystalline CdMoOs2 at its relaxed geometry, with properties calculated at the PBE level.

Properties
SG	I4/mmm (139)
E_form	0.5159	eV per atom
N(E_F)	2.923	states/eV/cell

Lattice parameters (Å, degrees): 4.801 4.801 4.801 130.09 130.09 73.27
Sites, in units of the cell vectors:
Os 0.500 0.500 0.000
Os 0.000 0.000 0.000
Cd 0.250 0.750 0.500
Mo 0.750 0.250 0.500



# 12
Below is crystalline PrSm8Er4 at its relaxed geometry, with properties calculated at the PBE level.

Properties
SG	R-3m (166)
E_form	0.1840	eV per atom
N(E_F)	13.981	states/eV/cell

Lattice parameters (Å, degrees): 7.339 7.339 10.211 90.00 111.06 120.00
Sites, in units of the cell vectors:
Sm 0.566 0.783 0.349
Sm 0.049 0.249 0.298
Sm 0.498 0.249 0.298
Sm 0.434 0.217 0.651
Sm 0.951 0.751 0.702
Sm 0.502 0.751 0.702
Sm 0.951 0.200 0.702
Sm 0.049 0.800 0.298
Pr 0.000 0.500 0.500
Er 0.000 0.000 0.000
Er 0.500 0.000 0.000
Er 0.000 0.500 0.000
Er 0.500 0.500 0.000



# 13
Below is crystalline LaMg2W at its relaxed geometry, with properties calculated at the PBE level.

Properties
SG	C2/m (12)
E_form	0.4696	eV per atom
offset from the most stable computed form	0.32	eV per formula unit
N(E_F)	3.431	states/eV/cell

Lattice parameters (Å, degrees): 5.635 5.635 5.567 81.69 81.69 30.85
Sites, in units of the cell vectors:
Mg 0.017 0.017 0.966
Mg 0.483 0.483 0.534
La 0.250 0.250 0.250
W 0.750 0.750 0.750



# 14
Below is crystalline VS2N at its relaxed geometry, with properties calculated at the PBE level.

Properties
SG	Cmcm (63)
formation energy without anion corrections	3.38	eV per formula unit
N(E_F)	5.334	states/eV/cell

Lattice parameters (Å, degrees): 2.969 3.196 18.775 90.00 94.54 90.00
Last column: magnetic moment on the atom in μB.
Sites, in units of the cell vectors:
S 0.798 0.750 0.595  0.01
S 0.202 0.250 0.405  0.01
S 0.872 0.250 0.744  0.04
S 0.128 0.750 0.256  0.04
N 0.052 0.250 0.104  1.94
N 0.948 0.750 0.896  1.94
V 0.674 0.750 0.348  -0.43
V 0.326 0.250 0.652  -0.43



# 15
Below is crystalline MgMnPb2 at its relaxed geometry, with properties calculated at the PBE level.

Properties
SG	F-43m (216)
E_form	0.3717	eV per atom
N(E_F)	2.339	states/eV/cell

Lattice parameters (Å, degrees): 5.257 5.257 5.257 60.00 60.00 60.00
Last column: magnetic moment on the atom in μB.
Sites, in units of the cell vectors:
Mn 0.750 0.750 0.750  4.01
Pb 0.250 0.250 0.250  0.00
Pb 0.000 0.000 0.000  -0.03
Mg 0.500 0.500 0.500  -0.02



# 16
Below is crystalline Tb2PaAl at its relaxed geometry, with properties calculated at the PBE level.

Properties
SG	P4/mmm (123)
E_form	-0.0570	eV per atom
offset from the most stable computed form	0.00	eV per formula unit
N(E_F)	5.256	states/eV/cell

Lattice parameters (Å, degrees): 3.394 3.394 9.038 90.00 90.00 90.00
Last column: magnetic moment on the atom in μB.
Sites, in units of the cell vectors:
Pa 0.500 0.500 0.500  0.35
Al 0.500 0.500 0.000  0.00
Tb 0.000 0.000 0.226  0.01
Tb 0.000 0.000 0.774  0.01



# 17
Below is crystalline HfMn2W2 at its relaxed geometry, with properties calculated at the PBE level.

Properties
SG	P4/mbm (127)
E_form	0.2413	eV per atom
N(E_F)	11.462	states/eV/cell

Lattice parameters (Å, degrees): 7.230 7.230 2.908 90.00 90.00 90.00
Sites, in units of the cell vectors:
Mn 0.138 0.362 0.000
Mn 0.362 0.862 0.000
Mn 0.638 0.138 0.000
Mn 0.862 0.638 0.000
W 0.655 0.845 0.500
W 0.345 0.155 0.500
W 0.155 0.655 0.500
W 0.845 0.345 0.500
Hf 0.000 0.000 0.000
Hf 0.500 0.500 0.000



# 18
Below is crystalline TmPuAu6 at its relaxed geometry, with properties calculated at the PBE level.

Properties
SG	C2/m (12)
E_form	-0.5129	eV per atom
N(E_F)	14.696	states/eV/cell

Lattice parameters (Å, degrees): 4.861 4.877 8.511 89.84 73.41 60.11
Last column: magnetic moment on the atom in μB.
Sites, in units of the cell vectors:
Au 0.502 0.248 0.749  0.00
Au 0.746 0.626 0.882  0.00
Au 0.243 0.878 0.636  -0.01
Au 0.498 0.752 0.251  0.00
Au 0.757 0.122 0.364  -0.01
Au 0.254 0.374 0.118  0.00
Pu 0.000 0.500 0.500  5.16
Tm 0.000 0.000 0.000  0.01